{
  "formula": "Li3W8O24",
  "functional": "GGA+U",
  "state": "relaxed",
  "e_tot_ev_per_cell": -253.40,
  "polymorph_energy_ev_per_fu": 0.000,
  "lattice": [[5.347, -3.783, 0.000], [5.347, 3.783, 0.000], [-0.038, 0.000, 10.825]],
  "species": ["Li", "Li", "Li", "W", "W", "W", "W", "W", "W", "W", "W", "O", "O", "O", "O", "O", "O", "O", "O", "O", "O", "O", "O", "O", "O", "O", "O", "O", "O", "O", "O", "O", "O", "O", "O"],
  "fractional_positions": [[0.000, 0.000, 0.000], [0.244, 0.244, 0.750], [0.756, 0.756, 0.250], [0.000, 0.500, 0.000], [0.000, 0.500, 0.500], [0.251, 0.744, 0.747], [0.256, 0.749, 0.253], [0.500, 0.000, 0.000], [0.500, 0.000, 0.500], [0.744, 0.251, 0.747], [0.749, 0.256, 0.253], [0.007, 0.007, 0.283], [0.051, 0.649, 0.147], [0.101, 0.695, 0.901], [0.146, 0.547, 0.660], [0.185, 0.614, 0.389], [0.214, 0.214, 0.491], [0.291, 0.291, 0.004], [0.305, 0.899, 0.099], [0.351, 0.949, 0.853], [0.386, 0.815, 0.611], [0.453, 0.854, 0.340], [0.495, 0.495, 0.205], [0.505, 0.505, 0.795], [0.547, 0.146, 0.660], [0.614, 0.185, 0.389], [0.649, 0.051, 0.147], [0.695, 0.101, 0.901], [0.709, 0.709, 0.996], [0.786, 0.786, 0.509], [0.815, 0.386, 0.611], [0.854, 0.453, 0.340], [0.899, 0.305, 0.099], [0.949, 0.351, 0.853], [0.993, 0.993, 0.717]]
}